[1]
Zn2CdAs | SCAN | PBEsol geometry

Structure (POSCAR):
```
Zn2CdAs
1.0
-1.1284 -2.2614 1.1401
1.6186 0.8355 3.2592
-5.4778 3.6350 1.7887
As Cd Zn
1 1 2
direct
0.0000 0.0000 0.4580
0.5000 0.5000 0.7763
0.0000 0.0000 0.0307
0.5000 0.5000 0.2349
```

Properties
The value obtained for the total DFT energy (no corrections) is -19.25 eV per atom. The calculation puts the energy relative to the lowest polymorph listed for this composition at 0.000 eV per formula unit. The space group is No. 25. The value obtained for the formation energy is 159 meV per atom.



[2]
Zr2Te2Pt | SCAN | PBEsol geometry

Structure (POSCAR):
```
Zr2Te2Pt
1.0
4.0744 0.0000 0.0000
0.0000 4.0744 0.0000
-2.0372 -2.0372 6.9822
Te Zr Pt
2 2 1
direct
0.2500 0.7500 0.5000
0.7500 0.2500 0.5000
0.4020 0.4020 0.8040
0.5980 0.5980 0.1960
0.0000 0.0000 0.0000
```

Properties
The value obtained for the total DFT energy (no corrections) is -41.32 eV per atom. The space group is No. 139. As for the energy relative to the elements, uncorrected: -98 meV/atom.



Among the records above, which one has the lowest total DFT energy (no corrections)?
Zr2Te2Pt



Which of these has the lowest total DFT energy (no corrections)?
Zr2Te2Pt



The lowest total DFT energy (no corrections) belongs to which entry?
Zr2Te2Pt



Among the records above, which one has the lowest total DFT energy (no corrections)?
Zr2Te2Pt